# 1
The following is a PBE calculation of crystalline NaMg2Bi at its relaxed geometry, from Alexandria.

## Properties
magnetic moment = 0.00 μB per formula unit
uncorrected energy = -1.93 eV per atom
formation energy = 170 meV/atom
ΔE to the lowest computed polymorph = 333 meV per atom

```
data_NaMg2Bi
_chemical_formula_sum 'Na1 Mg2 Bi1'
_space_group_name_H-M_alt 'P 1'
_space_group_IT_number 1
_cell_length_a 9.351
_cell_length_b 9.351
_cell_length_c 9.351
_cell_angle_alpha 28.98
_cell_angle_beta 28.98
_cell_angle_gamma 28.98
loop_
_space_group_symop_operation_xyz
'x,y,z'
loop_
_atom_site_label
_atom_site_fract_x
_atom_site_fract_y
_atom_site_fract_z
Na1 0.000 0.000 0.000
Mg1 0.121 0.121 0.121
Mg2 0.879 0.879 0.879
Bi1 0.500 0.500 0.500
```

# 2
The following is a PBE calculation of crystalline Cs4CrSe4 at its relaxed geometry, from Alexandria.

## Properties
magnetic moment = 2.00 μB per formula unit
uncorrected energy = -3.99 eV per atom
formation energy (no corrections) = -96 kJ/mol of atoms

```
data_Cs4CrSe4
_chemical_formula_sum 'Cs8 Cr2 Se8'
_space_group_name_H-M_alt 'P 1'
_space_group_IT_number 1
_cell_length_a 10.002
_cell_length_b 10.002
_cell_length_c 7.577
_cell_angle_alpha 90.00
_cell_angle_beta 90.00
_cell_angle_gamma 90.00
loop_
_space_group_symop_operation_xyz
'x,y,z'
loop_
_atom_site_label
_atom_site_fract_x
_atom_site_fract_y
_atom_site_fract_z
Cs1 0.028 0.250 0.097
Cs2 0.250 0.028 0.597
Cs3 0.250 0.472 0.597
Cs4 0.472 0.250 0.097
Cs5 0.528 0.750 0.903
Cs6 0.750 0.528 0.403
Cs7 0.750 0.972 0.403
Cs8 0.972 0.750 0.903
Cr1 0.250 0.750 0.250
Cr2 0.750 0.250 0.750
Se1 0.054 0.750 0.421
Se2 0.250 0.554 0.079
Se3 0.250 0.946 0.079
Se4 0.446 0.750 0.421
Se5 0.554 0.250 0.579
Se6 0.750 0.054 0.921
Se7 0.750 0.446 0.921
Se8 0.946 0.250 0.579
```